This record from the Alexandria database describes crystalline LiYMo3O8 at its relaxed geometry. The functional is PBE+U.

Structure (extended XYZ):
```
13
Lattice="6.2826 0.0000 0.0000 -3.1413 5.4409 0.0000 0.0000 0.0000 4.9582" Properties=species:S:1:pos:R:3 pbc="T T T"
Li 0.0000 0.0000 0.0000
Y 3.1413 1.8136 0.3153
Mo 0.0000 1.8434 2.7951
Mo -1.5449 4.5192 2.7951
Mo 1.5449 4.5192 2.7951
O 0.0000 0.0000 1.7697
O -1.5340 2.7416 1.7751
O 1.4373 0.8298 3.9608
O 0.0000 3.6272 3.8730
O 1.5340 2.7416 1.7751
O 0.0000 5.3986 1.7751
O 4.8453 0.8298 3.9608
O 3.1413 3.7813 3.9608
```

total energy = -7.410 eV per atom